! NdCuSO (PBEsol, relaxed); values from VASP
&SYSTEM
  ibrav = 0, nat = 8, ntyp = 4
/
ATOMIC_SPECIES
Nd 144.24 Nd.upf
O 16.00 O.upf
S 32.06 S.upf
Cu 63.55 Cu.upf
ATOMIC_POSITIONS angstrom
Nd 0.0000 1.9431 7.0451
O 0.0000 0.0000 0.0000
S 0.0000 1.9431 2.7704
Nd 1.9431 0.0000 1.2287
Cu 1.9431 1.9431 4.1369
O 1.9431 1.9431 0.0000
S 1.9431 0.0000 5.5034
Cu 0.0000 0.0000 4.1369
CELL_PARAMETERS angstrom
3.8862 0.0000 0.0000
0.0000 3.8862 0.0000
0.0000 0.0000 8.2738
! symmetry	P4/nmm
! DOS at the Fermi energy	0.00	states/eV/atom
! E_form (uncorrected)	-2016	meV/atom